[1]
VASP calculation (PBE-GGA) on a relaxed AlTlAg crystal.

Computed properties:
The calculation puts the density of states at the Fermi level at 0.542 states/eV per atom. As for the crystal system: orthorhombic. As for the formation energy: 45 kJ/mol of formula units. The calculation puts the energy above the most stable polymorph in this dataset at 0.130 eV/atom.

abc: 6.558 6.560 3.263
angles: 75.55 75.64 28.81
Fractional coordinates of all 3 atoms:
Ag1 0.976 0.976 0.024
Tl1 0.668 0.668 0.332
Al1 0.356 0.356 0.644

[2]
VASP calculation (PBE-GGA) on a relaxed NdY2Ho4 crystal.

Computed properties:
The calculation puts the density of states at the Fermi level at 1.753 states/eV per atom. As for the crystal system: monoclinic. As for the formation energy: 84 kJ/mol of formula units. The calculation puts the energy above the most stable polymorph in this dataset at 0.084 eV/atom.

abc: 6.127 6.562 11.670
angles: 90.00 106.95 90.00
Fractional coordinates of all 14 atoms:
Nd1 0.817 0.250 0.861
Nd2 0.183 0.750 0.139
Y1 0.705 0.750 0.552
Y2 0.615 0.750 0.009
Y3 0.385 0.250 0.991
Y4 0.295 0.250 0.448
Ho1 0.641 0.009 0.289
Ho2 0.014 0.250 0.162
Ho3 0.138 0.750 0.424
Ho4 0.359 0.509 0.711
Ho5 0.862 0.250 0.576
Ho6 0.986 0.750 0.838
Ho7 0.641 0.491 0.289
Ho8 0.359 0.991 0.711

Q: Which of these has the lowest formation energy?
A: AlTlAg